1.
Here is a relaxed MnC crystal from the Alexandria database. Energies are from GGA-PBE.

Cell lengths 2.6744, 2.6744, 5.1464 Å; angles 90.00, 90.00, 120.00 degrees
With the nearest neighbours (Å) after each atom.
Space group P6_3/mmc (No. 194)
Inequivalent atoms, fractional coordinates:
1 Mn 0.0000 0.0000 0.0000 x2  6 C 2.01
2 C 0.3333 0.6667 0.2500 x2  6 Mn 2.01

Summary:
magnetization	0.00	Bohr magnetons per cell
VASP energy	-36.3	eV for the cell shown
energy of formation	0.11	eV per atom



2.
Here is a relaxed MnC2 crystal from the Alexandria database. Energies are from GGA-PBE.

Cell lengths 2.5512, 2.5512, 6.3717 Å; angles 90.00, 90.00, 90.00 degrees
With the nearest neighbours (Å) after each atom.
Space group I4/mmm (No. 139)
Inequivalent atoms, fractional coordinates:
1 Mn 0.0000 0.0000 0.0000 x2  10 C 2.06-2.13
2 C 0.0000 0.0000 0.3225 x4  5 C 2.03-2.26, 5 Mn 2.06-2.13

Summary:
magnetization	0.00	Bohr magnetons per cell
VASP energy	-46.5	eV for the cell shown
excess energy over the best structure of this formula in the dataset	0.9485	eV per atom
energy of formation	1.45	eV per atom



3.
Here is a relaxed MnC2 crystal from the Alexandria database. Energies are from GGA-PBE.

Cell lengths 5.3249, 5.3249, 2.7028 Å; angles 90.00, 90.00, 120.00 degrees
With the nearest neighbours (Å) after each atom.
Space group P-62m (No. 189)
Inequivalent atoms, fractional coordinates:
1 Mn 0.0000 0.0000 0.0000 x1  9 C 1.97-1.98
2 Mn 0.3333 0.6667 0.5000 x2  9 C 1.96-2.16
3 C 0.0000 0.2702 0.5000 x3  4 Mn 1.96-1.97
4 C 0.0000 0.6277 0.0000 x3  5 Mn 1.98-2.16

Summary:
magnetization	0.00	Bohr magnetons per cell
VASP energy	-70.1	eV for the cell shown
excess energy over the best structure of this formula in the dataset	0.9149	eV per atom
energy of formation	1.42	eV per atom



4.
Here is a relaxed Mn3C crystal from the Alexandria database. Energies are from GGA-PBE.

Cell lengths 5.3460, 5.3460, 5.3460 Å; angles 90.00, 90.00, 90.00 degrees
With the nearest neighbours (Å) after each atom.
Space group Fm-3m (No. 225)
Inequivalent atoms, fractional coordinates:
1 Mn 0.0000 0.0000 0.0000 x4  8 Mn 2.31
2 Mn 0.2500 0.2500 0.2500 x8  4 C 2.31, 4 Mn 2.31
3 C 0.0000 0.0000 0.5000 x4  8 Mn 2.31

Summary:
magnetization	4.19	Bohr magnetons per cell
VASP energy	-136.2	eV for the cell shown
energy of formation	0.67	eV per atom



5.
Here is a relaxed MnC2 crystal from the Alexandria database. Energies are from GGA-PBE.

Cell lengths 2.5257, 3.9460, 10.9856 Å; angles 90.00, 90.00, 90.00 degrees
With the nearest neighbours (Å) after each atom.
Space group Imma (No. 74)
Inequivalent atoms, fractional coordinates:
1 Mn 0.0000 0.2500 0.0452 x4  2 C 1.91
2 C 0.0000 0.2500 0.5857 x4  1 C 1.44
3 C 0.0000 0.2500 0.7167 x4  3 C 1.44-1.46

Summary:
magnetization	0.00	Bohr magnetons per cell
VASP energy	-101.8	eV for the cell shown
excess energy over the best structure of this formula in the dataset	0.2129	eV per atom
energy of formation	0.72	eV per atom



6.
Here is a relaxed Mn3C crystal from the Alexandria database. Energies are from GGA-PBE.

Cell lengths 2.8391, 4.2277, 6.7643 Å; angles 90.00, 90.00, 90.00 degrees
With the nearest neighbours (Å) after each atom.
Space group Cmmm (No. 65)
Inequivalent atoms, fractional coordinates:
1 Mn 0.0000 0.0000 0.0000 x2  8 Mn 2.52-2.55
2 Mn 0.0000 0.5000 0.3069 x4  2 C 1.93
3 C 0.0000 0.0000 0.5000 x2  4 Mn 1.93

Summary:
magnetization	9.74	Bohr magnetons per cell
VASP energy	-70.5	eV for the cell shown
energy of formation	0.36	eV per atom



7.
Here is a relaxed Mn3C crystal from the Alexandria database. Energies are from GGA-PBE.

Cell lengths 4.1955, 4.1955, 4.1955 Å; angles 90.00, 90.00, 90.00 degrees
With the nearest neighbours (Å) after each atom.
Space group Pm-3n (No. 223)
Inequivalent atoms, fractional coordinates:
1 Mn 0.0000 0.2500 0.5000 x6  2 Mn 2.10, 4 C 2.35
2 C 0.0000 0.0000 0.0000 x2  12 Mn 2.35

Summary:
magnetization	0.48	Bohr magnetons per cell
VASP energy	-68.1	eV for the cell shown
energy of formation	0.67	eV per atom



8.
Here is a relaxed Mn4C3 crystal from the Alexandria database. Energies are from GGA-PBE.

Cell lengths 4.0278, 4.0278, 4.0278 Å; angles 90.00, 90.00, 90.00 degrees
With the nearest neighbours (Å) after each atom.
Space group Pm-3m (No. 221)
Inequivalent atoms, fractional coordinates:
1 Mn 0.0000 0.0000 0.0000 x1  6 C 2.01
2 Mn 0.0000 0.5000 0.5000 x3  4 C 2.01
3 C 0.0000 0.0000 0.5000 x3  6 Mn 2.01

Summary:
magnetization	8.32	Bohr magnetons per cell
VASP energy	-62.6	eV for the cell shown
excess energy over the best structure of this formula in the dataset	0.0000	eV per atom
energy of formation	0.24	eV per atom